Material: Cs2CdSn
Method: DFT, PBE-GGA
State: optimized geometry

Cell and atoms, written as extended XYZ:
```
4
Lattice="-3.061 -1.314 5.705 -0.037 -6.160 2.387 3.536 -1.479 5.381" Properties=species:S:1:pos:R:3 pbc="T T T"
Cs 0.110 -2.238 3.368
Cs 0.329 -6.715 10.105
Cd 0.000 0.000 0.000
Sn 0.219 -4.477 6.737
```

The value obtained for the energy of formation is 0.097 eV per atom.

=====

Material: Cs5Cd4Sn2
Method: DFT, PBE-GGA
State: optimized geometry

Cell and atoms, written as extended XYZ:
```
11
Lattice="-1.839 6.792 -1.092 -5.196 1.444 -5.478 -9.273 2.084 5.365" Properties=species:S:1:pos:R:3 pbc="T T T"
Cs -6.455 6.913 -4.148
Cd -12.734 7.565 -1.144
Cs -5.537 3.524 -3.602
Cd -3.574 2.755 -0.061
Cd -6.522 5.950 1.557
Cd -9.786 4.371 -2.762
Cs -9.854 3.407 2.942
Cs -7.234 1.764 -0.056
Sn -4.696 6.094 -0.623
Sn -11.613 4.227 -0.582
Cs -10.772 6.797 2.397
```

The value obtained for the energy of formation is 0.062 eV per atom.

=====

Material: Cs2CdSn
Method: DFT, PBE-GGA
State: optimized geometry

Cell and atoms, written as extended XYZ:
```
8
Lattice="5.724 -4.289 -7.569 -0.605 4.168 9.524 -4.256 -9.050 2.902" Properties=species:S:1:pos:R:3 pbc="T T T"
Cs 1.875 -0.306 4.675
Sn 0.000 0.000 0.000
Cs -2.342 -5.398 3.880
Cs 1.926 -3.742 0.489
Cd 2.559 -0.060 0.978
Sn -1.151 -2.471 6.702
Cs 0.268 -8.896 0.671
Cd 2.014 -6.700 -1.844
```

The value obtained for the energy of formation is -0.004 eV per atom.

=====

Material: CsCd2Sn2
Method: DFT, PBE-GGA
State: optimized geometry

Cell and atoms, written as extended XYZ:
```
5
Lattice="5.148 0.000 0.000 0.000 5.148 0.000 2.574 2.574 6.140" Properties=species:S:1:pos:R:3 pbc="T T T"
Cd 5.148 2.574 3.070
Cs 0.000 0.000 0.000
Sn 5.148 5.148 4.653
Sn 2.574 2.574 1.487
Cd 2.574 5.148 3.070
```

The value obtained for the energy of formation is -0.149 eV per atom.

=====

Material: Cs3CdSn
Method: DFT, PBE-GGA
State: optimized geometry

Cell and atoms, written as extended XYZ:
```
5
Lattice="7.503 0.000 0.000 0.000 7.503 0.000 0.000 0.000 7.503" Properties=species:S:1:pos:R:3 pbc="T T T"
Cs 3.752 0.000 0.000
Cs 0.000 0.000 3.752
Sn 0.000 0.000 0.000
Cs 0.000 3.752 0.000
Cd 3.752 3.752 3.752
```

The value obtained for the energy of formation is 0.136 eV per atom.

=====

Material: CsCd2Sn
Method: DFT, PBE-GGA
State: optimized geometry

Cell and atoms, written as extended XYZ:
```
8
Lattice="4.988 0.000 0.000 0.000 4.988 0.000 0.000 0.000 12.004" Properties=species:S:1:pos:R:3 pbc="T T T"
Cs 0.000 2.494 9.191
Cd 0.000 2.494 1.003
Sn 0.000 2.494 4.355
Cs 2.494 0.000 2.812
Cd 0.000 0.000 6.002
Cd 2.494 2.494 6.002
Sn 2.494 0.000 7.648
Cd 2.494 0.000 11.001
```

The value obtained for the energy of formation is -0.039 eV per atom.

=====

Material: Cs3Cd3Sn8
Method: DFT, PBE-GGA
State: optimized geometry

Cell and atoms, written as extended XYZ:
```
14
Lattice="4.907 0.000 0.000 2.453 9.724 -1.085 2.453 1.604 9.652" Properties=species:S:1:pos:R:3 pbc="T T T"
Cs 4.907 8.603 6.507
Cs 4.907 2.725 2.061
Cd 2.453 8.718 0.246
Cs 4.907 5.664 4.284
Cd 2.453 0.000 0.000
Sn 4.907 9.895 2.302
Sn 2.453 2.845 5.230
Sn 7.360 8.483 3.337
Sn 7.360 5.521 7.254
Sn 4.907 1.433 6.265
Sn 4.907 6.418 -0.327
Sn 4.907 4.909 8.894
Sn 2.453 5.807 1.313
Cd 2.453 2.610 8.321
```

The value obtained for the energy of formation is -0.122 eV per atom.

=====

Material: CsCd2Sn4
Method: DFT, PBE-GGA
State: optimized geometry

Cell and atoms, written as extended XYZ:
```
7
Lattice="4.388 0.000 -1.000 -0.243 4.555 -1.064 0.370 0.356 11.746" Properties=species:S:1:pos:R:3 pbc="T T T"
Sn 4.133 2.091 8.006
Cd 0.896 0.966 3.930
Sn 2.992 3.269 3.002
Sn 1.523 1.642 6.680
Cs 2.194 0.000 -0.500
Cd 3.619 3.944 5.751
Sn 0.382 2.820 1.675
```

The value obtained for the energy of formation is -0.073 eV per atom.

=====

Material: Cs2Cd2Sn3
Method: DFT, PBE-GGA
State: optimized geometry

Cell and atoms, written as extended XYZ:
```
7
Lattice="-0.443 0.875 4.559 1.416 -6.385 3.748 7.857 0.900 2.975" Properties=species:S:1:pos:R:3 pbc="T T T"
Sn -0.221 0.438 2.280
Cs 2.602 -3.011 3.216
Cs 6.228 -1.599 8.067
Cd 7.542 -4.958 6.454
Sn 4.605 -4.896 6.157
Sn 4.226 0.286 5.126
Cd 1.288 0.347 4.829
```

The value obtained for the energy of formation is -0.117 eV per atom.

=====

Material: Cs3CdSn
Method: DFT, PBE-GGA
State: optimized geometry

Cell and atoms, written as extended XYZ:
```
10
Lattice="-2.867 2.801 -8.952 4.277 -8.799 -0.691 -6.014 -0.470 6.203" Properties=species:S:1:pos:R:3 pbc="T T T"
Sn -5.819 0.644 -1.252
Cs -0.072 -3.255 -0.657
Cd -3.344 -0.848 0.039
Cs -3.494 1.905 -5.815
Cs -1.171 -2.094 -5.659
Sn 1.216 -7.113 -2.188
Cs -1.110 -8.373 2.375
Cd -1.259 -5.620 -3.478
Cs -3.432 -4.374 2.219
Cs -4.531 -3.213 -2.783
```

The value obtained for the energy of formation is -0.031 eV per atom.

=====

Material: CsCd4Sn4
Method: DFT, PBE-GGA
State: optimized geometry

Cell and atoms, written as extended XYZ:
```
18
Lattice="-2.353 -5.242 2.146 8.982 -3.008 2.500 -1.084 4.101 8.831" Properties=species:S:1:pos:R:3 pbc="T T T"
Sn 3.641 -5.893 4.809
Sn 4.048 -0.399 9.912
Cd 0.944 -4.931 4.207
Cd 4.953 -3.327 3.757
Cd -0.524 -2.385 4.677
Sn 0.174 -2.111 10.246
Cd 6.802 -1.755 5.481
Sn 0.653 0.290 3.742
Sn -0.837 -1.103 7.468
Sn 5.761 -4.431 6.575
Cd 1.213 0.561 9.153
Sn 6.623 -0.582 8.156
Cs 2.773 -2.074 6.738
Cd 2.869 -3.076 10.849
Cd 5.449 -3.146 9.365
Cd 0.476 1.466 6.415
Cs 0.000 0.000 0.000
Sn 2.120 -2.364 2.996
```

The value obtained for the energy of formation is -0.007 eV per atom.

=====

Material: CsCdTcSn2
Method: DFT, PBE-GGA
State: optimized geometry

Cell and atoms, written as extended XYZ:
```
5
Lattice="-1.641 2.058 4.508 2.873 -3.474 2.632 4.315 3.536 -0.043" Properties=species:S:1:pos:R:3 pbc="T T T"
Tc 0.000 0.000 0.000
Cs 2.773 1.059 3.549
Cd 2.157 1.768 -0.021
Sn 1.437 -1.737 1.316
Sn -0.821 1.029 2.254
```

The value obtained for the energy of formation is -0.003 eV per atom.

=====

What is the energy of formation in the third record?
-0.004 eV per atom

=====

What did the eleventh record say?
Material: CsCd4Sn4
Method: DFT, PBE-GGA
State: optimized geometry

Cell and atoms, written as extended XYZ:
```
18
Lattice="-2.353 -5.242 2.146 8.982 -3.008 2.500 -1.084 4.101 8.831" Properties=species:S:1:pos:R:3 pbc="T T T"
Sn 3.641 -5.893 4.809
Sn 4.048 -0.399 9.912
Cd 0.944 -4.931 4.207
Cd 4.953 -3.327 3.757
Cd -0.524 -2.385 4.677
Sn 0.174 -2.111 10.246
Cd 6.802 -1.755 5.481
Sn 0.653 0.290 3.742
Sn -0.837 -1.103 7.468
Sn 5.761 -4.431 6.575
Cd 1.213 0.561 9.153
Sn 6.623 -0.582 8.156
Cs 2.773 -2.074 6.738
Cd 2.869 -3.076 10.849
Cd 5.449 -3.146 9.365
Cd 0.476 1.466 6.415
Cs 0.000 0.000 0.000
Sn 2.120 -2.364 2.996
```

The value obtained for the energy of formation is -0.007 eV per atom.

=====

Among the records above, which one has the highest energy of formation?
number 5

=====

Number 1 is which compound?
Cs2CdSn